VASP calculation (PBE) on a relaxed La2TaF crystal.

Calculated values
Uncorrected formation energy: -0.415 eV/atom
Distance to the lowest polymorph of the same formula: 0.00 eV per formula unit
Total DFT energy (no corrections): -0.232 Ha/atom
Total magnetization: 0.0 μB per formula unit

CIF file:
```
data_La2TaF
_space_group_name_H-M_alt 'I -4 2 d'
_space_group_IT_number 122
_space_group_name_Hall 'I -4 2bw'
_cell_length_a 5.817
_cell_length_b 5.817
_cell_length_c 13.283
_cell_angle_alpha 90.00
_cell_angle_beta 90.00
_cell_angle_gamma 90.00
loop_
_atom_site_label
_atom_site_type_symbol
_atom_site_fract_x
_atom_site_fract_y
_atom_site_fract_z
La1 La 0.207 0.250 0.125
Ta1 Ta 0.000 0.000 0.500
F1 F 0.000 0.000 0.000
```